[1]
K2CdOs | PBE-GGA | relaxed

Cell and atoms, written as POSCAR:
```
K2CdOs
1.0
7.616 0.033 0.005
4.586 6.080 -0.005
-5.094 -5.066 2.526
Cd K Os
1 2 1
Direct
0.301 0.801 0.500
0.705 0.205 0.500
0.017 0.017 0.000
0.477 0.477 0.000
```

Summary:
Density of states at the Fermi level   3.77 states/eV per cell
Total energy   -2.697 eV per atom
ΔH_f (0 K)   0.888 eV/atom
Mass density   5.43 g/cm³
Space-group type   Imm2

[2]
KCd2Os | PBE-GGA | relaxed

Cell and atoms, written as POSCAR:
```
KCd2Os
1.0
3.019 0.000 0.000
0.000 3.019 0.000
0.000 0.000 9.936
K Cd Os
1 2 1
Direct
0.500 0.500 0.250
0.000 0.000 0.949
0.000 0.000 0.551
0.500 0.500 0.750
```

Summary:
Density of states at the Fermi level   4.17 states/eV per cell
Total energy   -2.887 eV per atom
ΔH_f (0 K)   0.652 eV/atom
Mass density   8.33 g/cm³
Space-group type   P4/mmm

[3]
K3CdOs | PBE-GGA | relaxed

Cell and atoms, written as POSCAR:
```
K3CdOs
1.0
6.241 0.000 0.000
0.000 6.241 0.000
0.000 0.000 6.241
K Os Cd
3 1 1
Direct
0.000 0.500 0.000
0.000 0.000 0.500
0.500 0.000 0.000
0.000 0.000 0.000
0.500 0.500 0.500
```

Summary:
Density of states at the Fermi level   6.38 states/eV per cell
Total energy   -1.953 eV per atom
ΔH_f (0 K)   1.135 eV/atom
Mass density   2.87 g/cm³
Space-group type   Pm-3m

[4]
KCd2Os | PBE-GGA | relaxed

Cell and atoms, written as POSCAR:
```
KCd2Os
1.0
2.913 -0.079 0.000
-1.176 2.666 0.000
0.000 0.000 10.923
Os Cd K
1 2 1
Direct
0.500 0.500 0.750
0.000 0.000 0.531
0.000 0.000 0.969
0.500 0.500 0.250
```

Summary:
Density of states at the Fermi level   2.88 states/eV per cell
Total energy   -2.831 eV per atom
ΔH_f (0 K)   0.708 eV/atom
Mass density   9.00 g/cm³
Space-group type   Cmmm

[5]
K2CdOs | PBE-GGA | relaxed

Cell and atoms, written as POSCAR:
```
K2CdOs
1.0
-4.285 -0.580 3.598
0.946 -2.584 0.711
4.293 -0.011 5.112
Cd K Os
1 2 1
Direct
0.500 0.750 0.750
0.000 0.511 0.489
0.000 0.989 0.011
0.500 0.250 0.250
```

Summary:
Density of states at the Fermi level   2.37 states/eV per cell
Total energy   -2.564 eV per atom
ΔH_f (0 K)   1.021 eV/atom
Mass density   6.49 g/cm³
Space-group type   P2/m

[6]
K2CdOs | PBE-GGA | relaxed

Cell and atoms, written as POSCAR:
```
K2CdOs
1.0
-5.227 -0.748 -0.576
0.837 -2.387 -4.671
2.477 -1.741 4.365
K Os Cd
2 1 1
Direct
0.250 0.750 0.500
0.000 0.000 0.000
0.500 0.500 0.000
0.750 0.250 0.500
```

Summary:
Density of states at the Fermi level   6.23 states/eV per cell
Total energy   -2.451 eV per atom
ΔH_f (0 K)   1.134 eV/atom
Mass density   5.98 g/cm³
Space-group type   I-4m2

[7]
KCd2Os | PBE-GGA | relaxed

Cell and atoms, written as POSCAR:
```
KCd2Os
1.0
-4.401 -1.225 1.992
-3.882 -1.006 -2.960
-1.696 -4.671 -0.385
K Cd Os
1 2 1
Direct
0.000 0.000 0.000
0.250 0.250 0.250
0.750 0.750 0.750
0.500 0.500 0.500
```

Summary:
Density of states at the Fermi level   3.59 states/eV per cell
Total energy   -2.653 eV per atom
ΔH_f (0 K)   0.886 eV/atom
Mass density   8.61 g/cm³
Space-group type   Fm-3m

[8]
KCd2Os2 | PBE-GGA | relaxed

Cell and atoms, written as POSCAR:
```
KCd2Os2
1.0
8.698 0.000 0.000
0.000 8.698 0.000
0.000 0.000 2.782
Cd K Os
4 2 4
Direct
0.191 0.309 0.000
0.691 0.191 0.000
0.809 0.691 0.000
0.309 0.809 0.000
0.500 0.500 0.000
0.000 0.000 0.000
0.096 0.596 0.500
0.904 0.404 0.500
0.596 0.904 0.500
0.404 0.096 0.500
```

Summary:
Density of states at the Fermi level   9.09 states/eV per cell
Total energy   -4.382 eV per atom
ΔH_f (0 K)   0.696 eV/atom
Mass density   10.17 g/cm³
Space-group type   P4/mbm

[9]
KCd2Os | PBE-GGA | relaxed

Cell and atoms, written as POSCAR:
```
KCd2Os
1.0
5.572 0.040 0.000
2.172 5.132 0.000
-3.872 -2.586 3.062
Os Cd K
1 2 1
Direct
0.750 0.250 0.500
0.250 0.750 0.500
0.000 0.000 0.000
0.500 0.500 0.000
```

Summary:
Density of states at the Fermi level   1.66 states/eV per cell
Total energy   -2.542 eV per atom
ΔH_f (0 K)   0.997 eV/atom
Mass density   8.64 g/cm³
Space-group type   I-4m2

[10]
KCd2Os | PBE-GGA | relaxed

Cell and atoms, written as POSCAR:
```
KCd2Os
1.0
-5.067 -0.156 -6.227
4.648 -2.335 0.723
-1.302 -2.702 -0.331
K Os Cd
1 1 2
Direct
0.000 0.500 0.500
0.500 0.500 0.000
0.000 0.000 0.000
0.500 0.000 0.500
```

Summary:
Density of states at the Fermi level   1.64 states/eV per cell
Total energy   -2.770 eV per atom
ΔH_f (0 K)   0.769 eV/atom
Mass density   9.06 g/cm³
Space-group type   Cmmm

[11]
KCdPOs | PBE-GGA | relaxed

Cell and atoms, written as POSCAR:
```
KCdPOs
1.0
4.039 0.000 0.000
0.000 4.039 0.000
0.000 0.000 12.784
Os K P Cd
2 2 2 2
Direct
0.750 0.250 0.000
0.250 0.750 0.000
0.750 0.750 0.237
0.250 0.250 0.763
0.250 0.250 0.095
0.750 0.750 0.905
0.750 0.250 0.500
0.250 0.750 0.500
```

Summary:
Density of states at the Fermi level   5.02 states/eV per cell
Total energy   -4.917 eV per atom
ΔH_f (0 K)   -0.254 eV/atom
Mass density   5.93 g/cm³
Space-group type   P4/nmm

[12]
KCd2OsPd | PBE-GGA | relaxed

Cell and atoms, written as POSCAR:
```
KCd2OsPd
1.0
5.234 0.000 0.000
0.000 5.072 0.000
0.000 0.000 5.234
Cd Pd K Os
2 1 1 1
Direct
0.000 0.000 0.500
0.500 0.000 0.000
0.000 0.000 0.000
0.500 0.500 0.500
0.000 0.500 0.000
```

Summary:
Density of states at the Fermi level   3.55 states/eV per cell
Total energy   -3.111 eV per atom
ΔH_f (0 K)   0.759 eV/atom
Mass density   6.70 g/cm³
Space-group type   P4/mmm

[13]
KRbCdOs2 | PBE-GGA | relaxed

Cell and atoms, written as POSCAR:
```
KRbCdOs2
1.0
-1.277 -5.001 -0.175
1.187 -0.512 5.973
-4.903 1.214 1.078
Rb Os Cd K
1 2 1 1
Direct
0.000 0.500 0.000
0.000 0.000 0.500
0.500 0.000 0.000
0.000 0.000 0.000
0.500 0.500 0.500
```

Summary:
Density of states at the Fermi level   6.32 states/eV per cell
Total energy   -3.157 eV per atom
ΔH_f (0 K)   1.931 eV/atom
Mass density   6.29 g/cm³
Space-group type   P4/mmm

[14]
KRbCd2Os | PBE-GGA | relaxed

Cell and atoms, written as POSCAR:
```
KRbCd2Os
1.0
5.364 0.000 0.000
0.000 5.881 0.000
0.000 0.000 5.364
Rb Os Cd K
1 1 2 1
Direct
0.000 0.500 0.000
0.000 0.000 0.000
0.500 0.000 0.000
0.000 0.000 0.500
0.500 0.500 0.500
```

Summary:
Density of states at the Fermi level   3.15 states/eV per cell
Total energy   -2.368 eV per atom
ΔH_f (0 K)   0.657 eV/atom
Mass density   5.30 g/cm³
Space-group type   P4/mmm

[15]
K2CdOsSe | PBE-GGA | relaxed

Cell and atoms, written as POSCAR:
```
K2CdOsSe
1.0
-0.134 -6.205 1.323
4.516 -0.193 -0.445
0.663 1.303 6.175
Se Cd K Os
1 1 2 1
Direct
0.000 0.000 0.000
0.500 0.500 0.500
0.500 0.000 0.000
0.000 0.000 0.500
0.000 0.500 0.000
```

Summary:
Density of states at the Fermi level   3.48 states/eV per cell
Total energy   -3.240 eV per atom
Raw formation energy   0.3244 eV per atom
Mass density   4.17 g/cm³
Space-group type   P4/mmm

[16]
KCdTeOs2 | PBE-GGA | relaxed

Cell and atoms, written as POSCAR:
```
KCdTeOs2
1.0
5.073 0.000 0.000
0.000 5.625 0.000
0.000 0.000 5.073
Os Te K Cd
2 1 1 1
Direct
0.000 0.000 0.500
0.500 0.000 0.000
0.500 0.500 0.500
0.000 0.500 0.000
0.000 0.000 0.000
```

Summary:
Density of states at the Fermi level   6.07 states/eV per cell
Total energy   -3.480 eV per atom
Raw formation energy   2.0424 eV per atom
Mass density   7.56 g/cm³
Space-group type   P4/mmm

[17]
KTi2CdOs | PBE-GGA | relaxed

Cell and atoms, written as POSCAR:
```
KTi2CdOs
1.0
-0.746 1.417 -4.917
-4.921 0.874 0.998
1.121 4.893 1.240
Os Ti K Cd
1 2 1 1
Direct
0.000 0.500 0.000
0.500 0.000 0.000
0.000 0.000 0.500
0.500 0.500 0.500
0.000 0.000 0.000
```

Summary:
Density of states at the Fermi level   7.95 states/eV per cell
Total energy   -4.128 eV per atom
ΔH_f (0 K)   1.679 eV/atom
Mass density   5.33 g/cm³
Space-group type   P4/mmm

[18]
KCdP2 | PBE-GGA | relaxed

Cell and atoms, written as POSCAR:
```
KCdP2
1.0
5.520 0.015 -0.002
4.496 3.202 -0.002
1.617 0.519 6.207
Cd K P
1 1 2
Direct
0.250 0.250 0.250
0.750 0.750 0.750
0.015 0.015 0.130
0.485 0.485 0.370
```

Summary:
Density of states at the Fermi level   0.93 states/eV per cell
Total energy   -3.275 eV per atom
ΔH_f (0 K)   -0.067 eV/atom
Mass density   3.24 g/cm³
Space-group type   C2/m

[19]
KCdP2 | PBE-GGA | relaxed

Cell and atoms, written as POSCAR:
```
KCdP2
1.0
3.145 0.000 0.000
0.000 3.145 0.000
0.000 0.000 8.757
P Cd K
2 1 1
Direct
0.000 0.000 0.032
0.000 0.000 0.468
0.500 0.500 0.250
0.500 0.500 0.750
```

Summary:
Density of states at the Fermi level   1.40 states/eV per cell
Total energy   -2.927 eV per atom
ΔH_f (0 K)   0.281 eV/atom
Mass density   4.09 g/cm³
Space-group type   P4/mmm

[20]
KCdP2 | PBE-GGA | relaxed

Cell and atoms, written as POSCAR:
```
KCdP2
1.0
-2.419 1.072 -1.754
0.763 -2.482 -1.827
-5.534 -5.046 4.545
P K Cd
2 1 1
Direct
0.000 0.000 0.466
0.000 0.000 0.034
0.500 0.500 0.750
0.500 0.500 0.250
```

Summary:
Density of states at the Fermi level   1.38 states/eV per cell
Total energy   -2.931 eV per atom
ΔH_f (0 K)   0.277 eV/atom
Mass density   4.05 g/cm³
Space-group type   Cmmm

[21]
K2Cd2P | PBE-GGA | relaxed

Cell and atoms, written as POSCAR:
```
K2Cd2P
1.0
-6.805 -1.637 2.229
1.267 -7.108 -1.354
1.885 -0.667 5.267
K Cd P
4 4 2
Direct
0.687 0.813 0.500
0.187 0.687 0.500
0.813 0.313 0.500
0.313 0.187 0.500
0.863 0.637 0.000
0.637 0.137 0.000
0.363 0.863 0.000
0.137 0.363 0.000
0.000 0.000 0.000
0.500 0.500 0.000
```

Summary:
Density of states at the Fermi level   5.68 states/eV per cell
Total energy   -1.912 eV per atom
ΔH_f (0 K)   -0.025 eV/atom
Mass density   3.65 g/cm³
Space-group type   P4/mbm

[22]
KCd3P | PBE-GGA | relaxed

Cell and atoms, written as POSCAR:
```
KCd3P
1.0
6.534 0.000 0.000
0.000 6.534 0.000
0.000 0.000 6.534
Cd P K
3 1 1
Direct
0.000 0.000 0.500
0.500 0.000 0.000
0.000 0.500 0.000
0.500 0.500 0.500
0.000 0.000 0.000
```

Summary:
Density of states at the Fermi level   6.37 states/eV per cell
Total energy   -0.843 eV per atom
ΔH_f (0 K)   1.008 eV/atom
Mass density   2.43 g/cm³
Space-group type   Pm-3m

[23]
KCdP2 | PBE-GGA | relaxed

Cell and atoms, written as POSCAR:
```
KCdP2
1.0
4.063 0.000 0.000
0.000 2.840 -0.021
0.000 0.068 7.958
P K Cd
2 1 1
Direct
0.000 0.250 0.033
0.000 0.250 0.467
0.500 0.750 0.750
0.500 0.250 0.250
```

Summary:
Density of states at the Fermi level   1.50 states/eV per cell
Total energy   -3.029 eV per atom
ΔH_f (0 K)   0.179 eV/atom
Mass density   3.86 g/cm³
Space-group type   P2/m

[24]
KCdP2 | PBE-GGA | relaxed

Cell and atoms, written as POSCAR:
```
KCdP2
1.0
-2.844 -0.220 1.667
0.409 -3.267 0.266
4.101 1.094 7.140
P K Cd
2 1 1
Direct
0.000 0.000 0.084
0.500 0.500 0.176
0.500 0.500 0.789
0.000 0.000 0.452
```

Summary:
Density of states at the Fermi level   0.33 states/eV per cell
Total energy   -3.174 eV per atom
ΔH_f (0 K)   0.034 eV/atom
Mass density   3.91 g/cm³
Space-group type   P4mm

[25]
KCdP2 | PBE-GGA | relaxed

Cell and atoms, written as POSCAR:
```
KCdP2
1.0
-3.193 4.224 0.708
-0.601 -2.324 4.772
4.650 1.897 -1.820
Cd K P
1 1 2
Direct
0.750 0.250 0.500
0.250 0.750 0.500
0.596 0.596 0.000
0.904 0.904 0.000
```

Summary:
Density of states at the Fermi level   2.42 states/eV per cell
Total energy   -3.148 eV per atom
ΔH_f (0 K)   0.060 eV/atom
Mass density   3.18 g/cm³
Space-group type   Immm

[26]
KCdP2 | PBE-GGA | relaxed

Cell and atoms, written as POSCAR:
```
KCdP2
1.0
6.269 0.007 -0.008
2.789 5.615 0.008
-3.680 -4.179 2.880
P K Cd
2 1 1
Direct
0.800 0.300 0.500
0.935 0.935 0.000
0.229 0.729 0.500
0.536 0.536 0.000
```

Summary:
Density of states at the Fermi level   1.37 states/eV per cell
Total energy   -3.285 eV per atom
ΔH_f (0 K)   -0.077 eV/atom
Mass density   3.49 g/cm³
Space-group type   Imm2

[27]
K4CdP2 | PBE-GGA | relaxed

Cell and atoms, written as POSCAR:
```
K4CdP2
1.0
-5.651 4.564 6.386
-4.595 -0.640 8.486
-0.686 3.491 8.994
K Cd P
4 1 2
Direct
0.208 0.708 0.208
0.606 0.107 0.606
0.792 0.292 0.792
0.394 0.893 0.394
0.000 0.500 0.000
0.089 0.589 0.089
0.911 0.411 0.911
```

Summary:
Total energy   -2.657 eV per atom
ΔH_f (0 K)   -0.354 eV/atom
Mass density   2.14 g/cm³
Space-group type   R-3m

[28]
KCdP2 | PBE-GGA | relaxed

Cell and atoms, written as POSCAR:
```
KCdP2
1.0
-0.252 -4.352 2.545
4.913 -0.784 -0.853
4.328 1.733 8.396
P Cd K
4 2 2
Direct
0.914 0.625 0.250
0.875 0.086 0.750
0.836 0.125 0.250
0.375 0.164 0.750
0.750 0.250 0.500
0.000 0.000 0.000
0.500 0.500 0.000
0.250 0.750 0.500
```

Summary:
Density of states at the Fermi level   4.29 states/eV per cell
Total energy   -3.133 eV per atom
ΔH_f (0 K)   0.075 eV/atom
Mass density   3.12 g/cm³
Space-group type   I-42d

[29]
KCd3P | PBE-GGA | relaxed

Cell and atoms, written as POSCAR:
```
KCd3P
1.0
-1.824 1.239 4.889
-0.242 -5.214 1.231
5.037 0.198 1.829
K P Cd
1 1 3
Direct
0.500 0.500 0.500
0.000 0.000 0.000
0.500 0.000 0.000
0.000 0.000 0.500
0.000 0.500 0.000
```

Summary:
Density of states at the Fermi level   2.21 states/eV per cell
Total energy   -1.674 eV per atom
ΔH_f (0 K)   0.177 eV/atom
Mass density   4.39 g/cm³
Space-group type   Pm-3m